The following is a PBE calculation of a relaxed TlPt2Au crystal, from the Alexandria database. Values from VASP.

The energy relative to the elements is 0.17 eV per atom. For the volume, the calculation gives 73.49 Å³ per cell. The total energy is -17.0 eV per cell.

```
&SYSTEM
  ibrav = 0, nat = 4, ntyp = 3
/
ATOMIC_SPECIES
Au 196.97 Au.upf
Pt 195.08 Pt.upf
Tl 204.38 Tl.upf
ATOMIC_POSITIONS angstrom
Au 19.906 3.494 2.059
Pt 13.234 2.323 1.369
Pt 0.036 0.006 0.004
Tl 6.635 1.165 0.686
CELL_PARAMETERS angstrom
9.200 0.059 0.035
8.670 3.078 0.035
8.670 1.522 2.676
```